## A
Here is a geometry-optimized ScC4 structure from Alexandria via LeMat-Bulk. Energies are from PBE-GGA.

Lattice parameters (Å, degrees): 4.2287 4.2287 4.2287 90.00 90.00 90.00
With the nearest neighbours (Å) after each atom.
Sites, in units of the cell vectors:
Sc: 0.0000 0.0000 0.0000  6 C 2.11
C: 0.0000 0.0000 0.5000  2 Sc 2.11
C: 0.0000 0.5000 0.0000  2 Sc 2.11
C: 0.5000 0.0000 0.0000  2 Sc 2.11
C: 0.5000 0.5000 0.5000  12 C 2.99

Summary:
* density of states at the Fermi level: 1.078 states/eV/atom

***

## B
Here is a geometry-optimized ScC4 structure from Alexandria via LeMat-Bulk. Energies are from PBE-GGA.

Lattice parameters (Å, degrees): 4.2576 4.2576 4.2576 100.46 100.46 129.55
With the nearest neighbours (Å) after each atom.
Sites, in units of the cell vectors:
Sc: 0.0000 0.0000 0.0000  4 C 2.33
C: 0.0972 0.4172 0.5144  1 C 1.39
C: 0.4172 0.9028 0.3200  1 C 1.39
C: 0.5828 0.0972 0.6800  1 C 1.39
C: 0.9028 0.5828 0.4856  1 C 1.39

Summary:
* density of states at the Fermi level: 0.546 states/eV/atom

***

Which one sits at the bottom of the stability order? A does.

***

## A
Here is a geometry-optimized Sc5C4 structure from Alexandria via LeMat-Bulk. Energies are from PBE-GGA.

Lattice parameters (Å, degrees): 5.8328 5.8328 5.8328 99.72 99.72 131.49
With the nearest neighbours (Å) after each atom.
Sites, in units of the cell vectors:
Sc: 0.0000 0.0000 0.0000  4 C 2.15
Sc: 0.3002 0.3002 0.6005  2 C 2.26
Sc: 0.3002 0.6998 0.0000  2 C 2.26
Sc: 0.6998 0.3002 0.0000  2 C 2.26
Sc: 0.6998 0.6998 0.3995  2 C 2.26
C: 0.0000 0.2857 0.2857  3 Sc 2.15-2.26
C: 0.0000 0.7143 0.7143  3 Sc 2.15-2.26
C: 0.2857 0.0000 0.2857  3 Sc 2.15-2.26
C: 0.7143 0.0000 0.7143  3 Sc 2.15-2.26

Summary:
* density of states at the Fermi level: 0.651 states/eV/atom

***

## B
Here is a geometry-optimized Sc5C4 structure from Alexandria via LeMat-Bulk. Energies are from PBE-GGA.

Lattice parameters (Å, degrees): 6.8417 6.8417 5.9367 90.00 90.00 120.00
With the nearest neighbours (Å) after each atom.
Sites, in units of the cell vectors:
Sc: 0.0000 0.2394 0.2500  5 C 2.21-2.47
Sc: 0.0000 0.7606 0.7500  5 C 2.21-2.47
Sc: 0.2394 0.0000 0.2500  5 C 2.21-2.47
Sc: 0.2394 0.2394 0.7500  5 C 2.21-2.47
Sc: 0.3333 0.6667 0.0000  6 C 2.54
Sc: 0.3333 0.6667 0.5000  6 C 2.54
Sc: 0.6667 0.3333 0.0000  6 C 2.54
Sc: 0.6667 0.3333 0.5000  6 C 2.54
Sc: 0.7606 0.0000 0.7500  5 C 2.21-2.47
Sc: 0.7606 0.7606 0.2500  5 C 2.21-2.47
C: 0.0000 0.0000 0.0000  6 Sc 2.21
C: 0.0000 0.0000 0.5000  6 Sc 2.21
C: 0.0000 0.4153 0.7500  7 Sc 2.36-2.54
C: 0.0000 0.5847 0.2500  7 Sc 2.36-2.54
C: 0.4153 0.0000 0.7500  7 Sc 2.36-2.54
C: 0.4153 0.4153 0.2500  7 Sc 2.36-2.54
C: 0.5847 0.0000 0.2500  7 Sc 2.36-2.54
C: 0.5847 0.5847 0.7500  7 Sc 2.36-2.54

Summary:
* density of states at the Fermi level: 0.536 states/eV/atom

***

Which one sits at the bottom of the stability order? A does.

***

## A
Here is a geometry-optimized Sc3C4 structure from Alexandria via LeMat-Bulk. Energies are from PBE-GGA.

Lattice parameters (Å, degrees): 8.1950 8.1950 8.1950 156.50 156.50 33.48
With the nearest neighbours (Å) after each atom.
Sites, in units of the cell vectors:
Sc: 0.0000 0.0000 0.0000  10 C 2.45-2.65
Sc: 0.3218 0.3218 0.0000  6 C 2.15-2.40
Sc: 0.6782 0.6782 0.0000  6 C 2.15-2.40
C: 0.1688 0.1688 0.0000  5 Sc 2.37-2.40
C: 0.4590 0.4590 0.0000  1 C 1.29
C: 0.5410 0.5410 0.0000  1 C 1.29
C: 0.8312 0.8312 0.0000  5 Sc 2.37-2.40

Summary:
* density of states at the Fermi level: 0.410 states/eV/atom

***

## B
Here is a geometry-optimized Sc3C4 structure from Alexandria via LeMat-Bulk. Energies are from PBE-GGA.

Lattice parameters (Å, degrees): 7.5148 7.5148 15.0787 90.00 90.00 90.00
With the nearest neighbours (Å) after each atom.
Sites, in units of the cell vectors:
Sc: 0.0000 0.0000 0.0000  6 C 2.36-2.41
Sc: 0.0000 0.0000 0.3125  6 C 2.18-2.44
Sc: 0.0000 0.0000 0.6875  6 C 2.18-2.44
Sc: 0.0969 0.3010 0.5000  7 C 2.31-2.53
Sc: 0.1001 0.7126 0.1437  4 C 2.17-2.41
Sc: 0.1001 0.7126 0.8563  4 C 2.17-2.41
Sc: 0.1990 0.4031 0.0000  7 C 2.31-2.53
Sc: 0.2126 0.6001 0.3563  4 C 2.17-2.41
Sc: 0.2126 0.6001 0.6437  4 C 2.17-2.41
Sc: 0.2874 0.1001 0.1437  4 C 2.17-2.41
Sc: 0.2874 0.1001 0.8563  4 C 2.17-2.41
Sc: 0.3010 0.9031 0.5000  7 C 2.31-2.53
Sc: 0.3999 0.2126 0.3563  4 C 2.17-2.41
Sc: 0.3999 0.2126 0.6437  4 C 2.17-2.41
Sc: 0.4031 0.8010 0.0000  7 C 2.31-2.53
Sc: 0.5000 0.5000 0.1875  6 C 2.18-2.44
Sc: 0.5000 0.5000 0.5000  6 C 2.36-2.41
Sc: 0.5000 0.5000 0.8125  6 C 2.18-2.44
Sc: 0.5969 0.1990 0.0000  7 C 2.31-2.53
Sc: 0.6001 0.7874 0.3563  4 C 2.17-2.41
Sc: 0.6001 0.7874 0.6437  4 C 2.17-2.41
Sc: 0.6990 0.0969 0.5000  7 C 2.31-2.53
Sc: 0.7126 0.8999 0.1437  4 C 2.17-2.41
Sc: 0.7126 0.8999 0.8563  4 C 2.17-2.41
Sc: 0.7874 0.3999 0.3563  4 C 2.17-2.41
Sc: 0.7874 0.3999 0.6437  4 C 2.17-2.41
Sc: 0.8010 0.5969 0.0000  7 C 2.31-2.53
Sc: 0.8999 0.2874 0.1437  4 C 2.17-2.41
Sc: 0.8999 0.2874 0.8563  4 C 2.17-2.41
Sc: 0.9031 0.6990 0.5000  7 C 2.31-2.53
C: 0.0000 0.0000 0.1568  6 Sc 2.30-2.36
C: 0.0000 0.0000 0.4571  1 C 1.29
C: 0.0000 0.0000 0.5429  1 C 1.29
C: 0.0000 0.0000 0.8432  6 Sc 2.30-2.36
C: 0.0972 0.3071 0.3325  1 C 1.35
C: 0.0972 0.3071 0.6675  1 C 1.35
C: 0.1066 0.6969 0.0000  6 Sc 2.17-2.42
C: 0.1504 0.3496 0.2500  2 C 1.35
C: 0.1504 0.3496 0.7500  2 C 1.35
C: 0.1929 0.4028 0.1675  1 C 1.35
C: 0.1929 0.4028 0.8325  1 C 1.35
C: 0.1969 0.6066 0.5000  6 Sc 2.17-2.42
C: 0.3031 0.1066 0.0000  6 Sc 2.17-2.42
C: 0.3071 0.9028 0.3325  1 C 1.35
C: 0.3071 0.9028 0.6675  1 C 1.35
C: 0.3496 0.8496 0.2500  2 C 1.35
C: 0.3496 0.8496 0.7500  2 C 1.35
C: 0.3934 0.1969 0.5000  6 Sc 2.17-2.42
C: 0.4028 0.8071 0.1675  1 C 1.35
C: 0.4028 0.8071 0.8325  1 C 1.35
C: 0.5000 0.5000 0.0429  1 C 1.29
C: 0.5000 0.5000 0.3432  6 Sc 2.30-2.36
C: 0.5000 0.5000 0.6568  6 Sc 2.30-2.36
C: 0.5000 0.5000 0.9571  1 C 1.29
C: 0.5972 0.1929 0.1675  1 C 1.35
C: 0.5972 0.1929 0.8325  1 C 1.35
C: 0.6066 0.8031 0.5000  6 Sc 2.17-2.42
C: 0.6504 0.1504 0.2500  2 C 1.35
C: 0.6504 0.1504 0.7500  2 C 1.35
C: 0.6929 0.0972 0.3325  1 C 1.35
C: 0.6929 0.0972 0.6675  1 C 1.35
C: 0.6969 0.8934 0.0000  6 Sc 2.17-2.42
C: 0.8031 0.3934 0.5000  6 Sc 2.17-2.42
C: 0.8071 0.5972 0.1675  1 C 1.35
C: 0.8071 0.5972 0.8325  1 C 1.35
C: 0.8496 0.6504 0.2500  2 C 1.35
C: 0.8496 0.6504 0.7500  2 C 1.35
C: 0.8934 0.3031 0.0000  6 Sc 2.17-2.42
C: 0.9028 0.6929 0.3325  1 C 1.35
C: 0.9028 0.6929 0.6675  1 C 1.35

Summary:
* density of states at the Fermi level: 0.204 states/eV/atom

***

Which one sits at the bottom of the stability order? A does.

***

## A
Here is a geometry-optimized Sc3C4 structure from Alexandria via LeMat-Bulk. Energies are from PBE-GGA.

Lattice parameters (Å, degrees): 5.3907 5.3907 5.3907 90.00 90.00 90.00
With the nearest neighbours (Å) after each atom.
Sites, in units of the cell vectors:
Sc: 0.0000 0.0000 0.5000  4 C 2.28
Sc: 0.0000 0.5000 0.0000  4 C 2.28
Sc: 0.5000 0.0000 0.0000  4 C 2.28
C: 0.1021 0.1021 0.1021  3 C 1.56
C: 0.1021 0.8979 0.8979  3 C 1.56
C: 0.8979 0.1021 0.8979  3 C 1.56
C: 0.8979 0.8979 0.1021  3 C 1.56

Summary:
* density of states at the Fermi level: 0.954 states/eV/atom

***

## B
Here is a geometry-optimized Sc3C4 structure from Alexandria via LeMat-Bulk. Energies are from PBE-GGA.

Lattice parameters (Å, degrees): 4.6314 4.6314 4.6314 90.00 90.00 90.00
With the nearest neighbours (Å) after each atom.
Sites, in units of the cell vectors:
Sc: 0.0000 0.0000 0.5000  6 C 2.32
Sc: 0.0000 0.5000 0.0000  6 C 2.32
Sc: 0.5000 0.0000 0.0000  6 C 2.32
C: 0.0000 0.0000 0.0000  6 Sc 2.32
C: 0.0000 0.5000 0.5000  4 Sc 2.32
C: 0.5000 0.0000 0.5000  4 Sc 2.32
C: 0.5000 0.5000 0.0000  4 Sc 2.32

Summary:
* density of states at the Fermi level: 0.984 states/eV/atom

***

## C
Here is a geometry-optimized Sc3C4 structure from Alexandria via LeMat-Bulk. Energies are from PBE-GGA.

Lattice parameters (Å, degrees): 6.1003 6.1003 2.8368 90.00 90.00 120.00
With the nearest neighbours (Å) after each atom.
Sites, in units of the cell vectors:
Sc: 0.0000 0.5000 0.0000  4 C 2.26
Sc: 0.5000 0.0000 0.0000  4 C 2.26
Sc: 0.5000 0.5000 0.0000  4 C 2.26
C: 0.0000 0.0000 0.2499  2 C 1.42
C: 0.0000 0.0000 0.7501  2 C 1.42
C: 0.3333 0.6667 0.5000  6 Sc 2.26
C: 0.6667 0.3333 0.5000  6 Sc 2.26

Summary:
* density of states at the Fermi level: 0.504 states/eV/atom

***

Which one sits at the bottom of the stability order? B does.

***

## A
Here is a geometry-optimized Sc3C2 structure from Alexandria via LeMat-Bulk. Energies are from PBE-GGA.

Lattice parameters (Å, degrees): 6.0370 5.9550 7.0009 54.83 53.74 71.43
With the nearest neighbours (Å) after each atom.
Sites, in units of the cell vectors:
Sc: 0.0000 0.0000 0.0000  4 C 2.30-2.46
Sc: 0.1518 0.5495 0.5320  4 C 2.26-2.33
Sc: 0.2500 0.2500 0.2500  4 C 2.30-2.46
Sc: 0.4833 0.7180 0.7005  4 C 2.26-2.33
Sc: 0.5495 0.1518 0.7667  4 C 2.26-2.33
Sc: 0.7180 0.4833 0.0982  4 C 2.26-2.33
C: 0.1742 0.3923 0.9112  6 Sc 2.26-2.46
C: 0.3388 0.7276 0.0758  6 Sc 2.26-2.46
C: 0.3923 0.1742 0.5224  6 Sc 2.26-2.46
C: 0.7276 0.3388 0.8577  6 Sc 2.26-2.46

Summary:
* density of states at the Fermi level: 0.586 states/eV/atom

***

## B
Here is a geometry-optimized Sc3C2 structure from Alexandria via LeMat-Bulk. Energies are from PBE-GGA.

Lattice parameters (Å, degrees): 6.3138 6.3138 6.3138 54.08 54.08 54.08
With the nearest neighbours (Å) after each atom.
Sites, in units of the cell vectors:
Sc: 0.0601 0.7500 0.4399  4 C 2.29-2.36
Sc: 0.2500 0.5601 0.9399  4 C 2.29-2.36
Sc: 0.4399 0.0601 0.7500  4 C 2.29-2.36
Sc: 0.5601 0.9399 0.2500  4 C 2.29-2.36
Sc: 0.7500 0.4399 0.0601  4 C 2.29-2.36
Sc: 0.9399 0.2500 0.5601  4 C 2.29-2.36
C: 0.1540 0.1540 0.1540  6 Sc 2.29-2.36
C: 0.3460 0.3460 0.3460  6 Sc 2.29-2.36
C: 0.6540 0.6540 0.6540  6 Sc 2.29-2.36
C: 0.8460 0.8460 0.8460  6 Sc 2.29-2.36

Summary:
* density of states at the Fermi level: 0.674 states/eV/atom

***

Which one sits at the bottom of the stability order? A does.

***

## A
Here is a geometry-optimized Sc3C2 structure from Alexandria via LeMat-Bulk. Energies are from PBE-GGA.

Lattice parameters (Å, degrees): 8.8078 8.8078 8.8078 22.03 22.03 22.03
With the nearest neighbours (Å) after each atom.
Sites, in units of the cell vectors:
Sc: 0.0000 0.0000 0.0000  6 C 2.43
Sc: 0.2368 0.2368 0.2368  3 C 2.20
Sc: 0.7632 0.7632 0.7632  3 C 2.20
C: 0.3899 0.3899 0.3899  6 Sc 2.20-2.43
C: 0.6101 0.6101 0.6101  6 Sc 2.20-2.43

Summary:
* density of states at the Fermi level: 0.253 states/eV/atom

***

## B
Here is a geometry-optimized Sc3C2 structure from Alexandria via LeMat-Bulk. Energies are from PBE-GGA.

Lattice parameters (Å, degrees): 3.3699 3.3699 8.4717 90.00 90.00 120.00
With the nearest neighbours (Å) after each atom.
Sites, in units of the cell vectors:
Sc: 0.0000 0.0000 0.0000  6 C 2.43
Sc: 0.3333 0.6667 0.2937  3 C 2.20
Sc: 0.6667 0.3333 0.7063  3 C 2.20
C: 0.3333 0.6667 0.8281  6 Sc 2.20-2.43
C: 0.6667 0.3333 0.1719  6 Sc 2.20-2.43

Summary:
* density of states at the Fermi level: 0.433 states/eV/atom

***

Which one sits at the bottom of the stability order? A does.